Compound: PaBeSi
Source: OQMD
Functional: PBE-GGA
Structure: relaxed

Cell lengths 3.798, 3.798, 4.121 Å; angles 90.00, 90.00, 120.00 degrees
Fractional positions:
Pa (0.000, 0.000, 0.000)
Be (0.667, 0.333, 0.500)
Si (0.333, 0.667, 0.500)

Properties
As for the total energy: -20.10 eV/cell. The magnetic moment comes out at 0.07 Bohr magnetons per cell.